## ZnFeHg2 (PBE)

Data for crystalline ZnFeHg2 at its relaxed geometry.

ΔH_f (0 K) = 0.27 eV/atom

Cell lengths 2.910, 2.910, 8.697 Å; angles 90.00, 90.00, 90.00 degrees
Each line ends with the local moment (μB).
Atoms (fractional coordinates):
Fe: 0.500 0.500 0.726  2.50
Hg: 0.000 0.000 0.956  -0.03
Hg: 0.500 0.500 0.275  -0.01
Zn: 0.000 0.000 0.543  -0.06